1.
# MgScRh2 PBE optimized geometry
data_MgScRh2
_chemical_formula_sum 'Mg3 Sc3 Rh6'
_symmetry_space_group_name_H-M 'R 3 m'
_symmetry_Int_Tables_number 160
_symmetry_space_group_name_Hall 'R 3 -2"'
_cell_length_a 3.0085
_cell_length_b 3.0085
_cell_length_c 27.1640
_cell_angle_alpha 90.00
_cell_angle_beta 90.00
_cell_angle_gamma 120.00
loop_
_atom_site_label
_atom_site_type_symbol
_atom_site_fract_x
_atom_site_fract_y
_atom_site_fract_z
Mg1 Mg 0.0000 0.0000 0.0000
Sc1 Sc 0.0000 0.0000 0.2285
Rh1 Rh 0.0000 0.0000 0.4911
Rh2 Rh 0.0000 0.0000 0.7420
# Total energy   -5.7378 eV/atom


2.
# Mg3Sc3Rh2 PBE optimized geometry
data_Mg3Sc3Rh2
_chemical_formula_sum 'Mg3 Sc3 Rh2'
_symmetry_space_group_name_H-M 'P -6 2 m'
_symmetry_Int_Tables_number 189
_symmetry_space_group_name_Hall 'P -6 -2'
_cell_length_a 7.5654
_cell_length_b 7.5654
_cell_length_c 3.2167
_cell_angle_alpha 90.00
_cell_angle_beta 90.00
_cell_angle_gamma 120.00
loop_
_atom_site_label
_atom_site_type_symbol
_atom_site_fract_x
_atom_site_fract_y
_atom_site_fract_z
Mg1 Mg 0.0000 0.2313 0.0000
Sc1 Sc 0.0000 0.5749 0.5000
Rh1 Rh 0.3333 0.6667 0.0000
# Total energy   -5.3065 eV/atom


3.
# Mg2ScRh2 PBE optimized geometry
data_Mg2ScRh2
_chemical_formula_sum 'Mg4 Sc2 Rh4'
_symmetry_space_group_name_H-M 'P 4/m b m'
_symmetry_Int_Tables_number 127
_symmetry_space_group_name_Hall '-P 4 2ab'
_cell_length_a 7.440
_cell_length_b 7.440
_cell_length_c 3.046
_cell_angle_alpha 90.00
_cell_angle_beta 90.00
_cell_angle_gamma 90.00
loop_
_atom_site_label
_atom_site_type_symbol
_atom_site_fract_x
_atom_site_fract_y
_atom_site_fract_z
Mg1 Mg 0.126 0.374 0.000
Sc1 Sc 0.000 0.000 0.000
Rh1 Rh 0.175 0.675 0.500
# Total energy   -5.3072 eV/atom
# Energy above the most stable polymorph in this dataset   159 meV per atom


4.
# MgSc5Rh6 PBE optimized geometry
data_MgSc5Rh6
_chemical_formula_sum 'Mg2 Sc10 Rh12'
_symmetry_space_group_name_H-M 'C 1 2/m 1'
_symmetry_Int_Tables_number 12
_cell_length_a 7.858
_cell_length_b 13.585
_cell_length_c 4.535
_cell_angle_alpha 90.00
_cell_angle_beta 125.09
_cell_angle_gamma 90.00
loop_
_symmetry_equiv_pos_as_xyz
'x,y,z'
'-x,-y,-z'
'-x,y,-z'
'x,-y,z'
'x+1/2,y+1/2,z'
'-x+1/2,-y+1/2,-z'
'-x+1/2,y+1/2,-z'
'x+1/2,-y+1/2,z'
loop_
_atom_site_label
_atom_site_type_symbol
_atom_site_fract_x
_atom_site_fract_y
_atom_site_fract_z
Mg1 Mg 0.000 0.000 0.000
Sc1 Sc 0.000 0.161 0.500
Sc2 Sc 0.000 0.332 0.000
Sc3 Sc 0.000 0.500 0.500
Rh1 Rh 0.245 0.500 0.246
Rh2 Rh 0.248 0.332 0.748
# Total energy   -7.4203 eV/atom


5.
# MgScRh2 PBE optimized geometry
data_MgScRh2
_chemical_formula_sum 'Mg1 Sc1 Rh2'
_symmetry_space_group_name_H-M 'P m m 2'
_symmetry_Int_Tables_number 25
_cell_length_a 2.969
_cell_length_b 4.176
_cell_length_c 5.344
_cell_angle_alpha 90.00
_cell_angle_beta 90.00
_cell_angle_gamma 90.00
loop_
_symmetry_equiv_pos_as_xyz
'x,y,z'
'-x,-y,z'
'-x,y,z'
'x,-y,z'
loop_
_atom_site_label
_atom_site_type_symbol
_atom_site_fract_x
_atom_site_fract_y
_atom_site_fract_z
Mg1 Mg 0.000 0.000 0.000
Sc1 Sc 0.500 0.500 0.671
Rh1 Rh 0.000 0.000 0.488
Rh2 Rh 0.500 0.500 0.179
# Total energy   -6.1619 eV/atom


6.
# MgScRh2 PBE optimized geometry
data_MgScRh2
_chemical_formula_sum 'Mg2 Sc2 Rh4'
_symmetry_space_group_name_H-M 'C 1 2/m 1'
_symmetry_Int_Tables_number 12
_cell_length_a 8.451
_cell_length_b 3.121
_cell_length_c 5.183
_cell_angle_alpha 90.00
_cell_angle_beta 104.58
_cell_angle_gamma 90.00
loop_
_symmetry_equiv_pos_as_xyz
'x,y,z'
'-x,-y,-z'
'-x,y,-z'
'x,-y,z'
'x+1/2,y+1/2,z'
'-x+1/2,-y+1/2,-z'
'-x+1/2,y+1/2,-z'
'x+1/2,-y+1/2,z'
loop_
_atom_site_label
_atom_site_type_symbol
_atom_site_fract_x
_atom_site_fract_y
_atom_site_fract_z
Mg1 Mg 0.000 0.000 0.000
Sc1 Sc 0.000 0.500 0.500
Rh1 Rh 0.249 0.000 0.759
# Total energy   -6.1469 eV/atom